This record from the Alexandria database describes crystalline Pa3SbN3 at its relaxed geometry. The functional is PBE.

Values from the calculation:
* formation energy (no corrections): -1.402 eV/atom
* DFT total energy: -0.3538 Ha/atom
* magnetization: 1.62 Bohr magnetons per cell

a = 3.9000 Å, b = 6.8687 Å, c = 10.6694 Å
α = 80.92°, β = 79.47°, γ = 73.51°
Element x y z (fractional)
N (0.6890, 0.6538, 0.9682)
N (0.6919, 0.0275, 0.5887)
Pa (0.8794, 0.3318, 0.9094)
Pa (0.6518, 0.8974, 0.7990)
Sb (0.3812, 0.5568, 0.6808)
N (0.0691, 0.0917, 0.7701)
Pa (0.1182, 0.2073, 0.5563)
Pa (0.3482, 0.1026, 0.2010)
N (0.3110, 0.3462, 0.0318)
Pa (0.8818, 0.7927, 0.4437)
Sb (0.6188, 0.4432, 0.3192)
N (0.9309, 0.9083, 0.2299)
Pa (0.1206, 0.6682, 0.0906)
N (0.3081, 0.9725, 0.4113)

---

This record from the Alexandria database describes crystalline La6HoEr2 at its relaxed geometry. The functional is PBE.

Values from the calculation:
* DFT total energy: -0.1723 Ha/atom
* energy of formation: 2.724 kcal/mol of atoms
* magnetization: 0.00 Bohr magnetons per cell

a = 3.6940 Å, b = 10.1011 Å, c = 10.1013 Å
α = 55.92°, β = 90.00°, γ = 90.00°
Element x y z (fractional)
Er (0.5000, 0.8282, 0.8282)
La (0.0000, 0.5055, 0.1618)
La (0.0000, 0.1618, 0.5055)
La (0.5000, 0.3217, 0.6783)
Ho (0.0000, 0.0000, 0.0000)
La (0.0000, 0.8382, 0.4945)
La (0.5000, 0.6783, 0.3217)
Er (0.5000, 0.1718, 0.1718)
La (0.0000, 0.4945, 0.8382)

---

This record from the Alexandria database describes crystalline Zr2BeW at its relaxed geometry. The functional is PBE.

Values from the calculation:
* DFT total energy: -0.3043 Ha/atom
* energy of formation: 3.771 kcal/mol of atoms
* magnetization: 0.00 Bohr magnetons per cell

a = 5.3665 Å, b = 5.3665 Å, c = 4.4263 Å
α = 65.69°, β = 65.69°, γ = 38.28°
Element x y z (fractional)
Zr (0.7669, 0.7669, 0.7329)
Zr (0.9928, 0.9928, 0.0074)
W (0.2168, 0.2168, 0.2830)
Be (0.5234, 0.5234, 0.4767)

---

This record from the Alexandria database describes crystalline CeAsO at its relaxed geometry. The functional is PBE.

Values from the calculation:
* formation energy (no corrections): -1.907 eV/atom
* DFT total energy: -0.2605 Ha/atom
* magnetization: 0.00 Bohr magnetons per cell

a = 3.8424 Å, b = 3.8424 Å, c = 4.6645 Å
α = 90.00°, β = 90.00°, γ = 120.00°
Element x y z (fractional)
Ce (0.6667, 0.3333, 0.4999)
As (0.0000, 0.0000, 0.0000)
O (0.3333, 0.6667, 0.5001)

---

This record from the Alexandria database describes crystalline NdGd2Ni at its relaxed geometry. The functional is PBE.

Values from the calculation:
* DFT total energy: -0.3588 Ha/atom
* energy of formation: -2.002 kcal/mol of atoms
* magnetization: 14.54 Bohr magnetons per cell

a = 3.7626 Å, b = 3.7626 Å, c = 9.6997 Å
α = 78.82°, β = 78.82°, γ = 60.00°
Element x y z (fractional)
Gd (0.2743, 0.2743, 0.1772)
Nd (0.5000, 0.5000, 0.5000)
Ni (0.0000, 0.0000, 0.0000)
Gd (0.7257, 0.7257, 0.8228)

---

This record from the Alexandria database describes crystalline PmY6Th2 at its relaxed geometry. The functional is PBE.

Values from the calculation:
* DFT total energy: -0.2334 Ha/atom
* energy of formation: 3.128 kcal/mol of atoms
* magnetization: 0.00 Bohr magnetons per cell

a = 6.6378 Å, b = 9.6257 Å, c = 9.6257 Å
α = 96.88°, β = 82.39°, γ = 82.39°
Element x y z (fractional)
Y (0.8133, 0.9446, 0.7725)
Y (0.2765, 0.9349, 0.5463)
Th (0.1224, 0.6060, 0.6535)
Y (0.4924, 0.3450, 0.7288)
Y (0.1867, 0.0554, 0.2275)
Y (0.5076, 0.6550, 0.2712)
Th (0.8776, 0.3940, 0.3465)
Y (0.7235, 0.0651, 0.4537)
Y (0.0076, 0.2712, 0.6550)
Th (0.6224, 0.6535, 0.6060)
Y (0.7765, 0.5463, 0.9349)
Y (0.3133, 0.7725, 0.9446)
Pm (0.7500, 0.8872, 0.1128)
Y (0.6867, 0.2275, 0.0554)
Y (0.9924, 0.7288, 0.3450)
Y (0.2235, 0.4537, 0.0651)
Pm (0.2500, 0.1128, 0.8872)
Th (0.3776, 0.3465, 0.3940)

---

Number 1: DOS at the Fermi energy 14.15 states/eV per cell, calculated density 10.6 g/cm³. Number 2: DOS at the Fermi energy 13.23 states/eV per cell, calculated density 7.1 g/cm³. Number 3: DOS at the Fermi energy 2.52 states/eV per cell, calculated density 8.8 g/cm³. Number 4: DOS at the Fermi energy 2.91 states/eV per cell, calculated density 6.4 g/cm³. Number 5: DOS at the Fermi energy 4.96 states/eV per cell, calculated density 7.4 g/cm³. Number 6: DOS at the Fermi energy 28.09 states/eV per cell, calculated density 6.3 g/cm³.